Record 1
This record from Alexandria via LeMat-Bulk describes a relaxed structure of CsBiTe3Au. The functional is PBE-GGA.

## Properties
Raw formation energy   -2.331 eV per formula unit

Cell: 4.520 10.480 10.791 Å, 110.78 90.00 90.00°
Fractional positions:
Te: 0.750 0.477 0.171
Te: 0.250 0.786 0.448
Te: 0.750 0.214 0.552
Te: 0.250 0.118 0.862
Te: 0.250 0.523 0.829
Te: 0.750 0.882 0.138
Bi: 0.250 0.671 0.128
Bi: 0.750 0.329 0.872
Au: 0.250 0.069 0.587
Au: 0.750 0.931 0.413
Cs: 0.250 0.207 0.248
Cs: 0.750 0.793 0.752



Record 2
This record from Alexandria via LeMat-Bulk describes a relaxed structure of Cs3Tl4Bi2Au2. The functional is PBE-GGA.

## Properties
ΔH_f (0 K)   -156.4 meV per atom

Cell: 5.309 5.309 19.752 Å, 90.00 90.00 120.00°
Fractional positions:
Bi: 0.667 0.333 0.851
Bi: 0.333 0.667 0.149
Tl: 0.667 0.333 0.149
Tl: 0.667 0.333 0.559
Tl: 0.333 0.667 0.441
Tl: 0.333 0.667 0.851
Cs: 0.000 0.000 0.301
Cs: 0.000 0.000 0.000
Cs: 0.000 0.000 0.699
Au: 0.667 0.333 0.413
Au: 0.333 0.667 0.587



Record 3
This record from Alexandria via LeMat-Bulk describes a relaxed structure of CsV2BiAu. The functional is PBE-GGA.

## Properties
ΔH_f (0 K)   2378.9 meV per atom

Cell: 5.143 6.143 5.143 Å, 90.00 90.00 90.00°
Each line ends with the local moment (μB).
Fractional positions:
V: 0.000 0.000 0.500  2.70
V: 0.500 0.000 0.000  2.86
Au: 0.500 0.500 0.500  -0.01
Cs: 0.000 0.000 0.000  0.15
Bi: 0.000 0.500 0.000  -0.26



Record 4
This record from Alexandria via LeMat-Bulk describes a relaxed structure of CsBi2WAu. The functional is PBE-GGA.

## Properties
ΔH_f (0 K)   854.6 meV per atom

Cell: 5.337 6.350 5.337 Å, 90.00 90.00 90.00°
Fractional positions:
Cs: 0.000 0.500 0.000
Au: 0.500 0.500 0.500
Bi: 0.500 0.000 0.000
Bi: 0.000 0.000 0.500
W: 0.000 0.000 0.000